Entry from Alexandria via LeMat-Bulk: a relaxed Cs2PmAuCl6 crystal (PBE-GGA).

```
data_Cs2PmAuCl6
_cell_length_a 13.185
_cell_length_b 8.389
_cell_length_c 8.396
_cell_angle_alpha 90.00
_cell_angle_beta 129.54
_cell_angle_gamma 90.00
_symmetry_space_group_name_H-M 'C 1 2/m 1'
_symmetry_Int_Tables_number 12
_symmetry_space_group_name_Hall '-C 2y'
loop_
_atom_site_label
_atom_site_type_symbol
_atom_site_fract_x
_atom_site_fract_y
_atom_site_fract_z
_atom_site_occupancy
Cs1 Cs 0.250 0.000 0.250 1
Pm1 Pm 0.000 0.000 0.500 1
Au1 Au 0.000 0.500 0.000 1
Cl1 Cl 0.000 0.227 0.273 1
Cl2 Cl 0.230 0.500 0.230 1
```

## Properties
energy relative to the elements, uncorrected	-1729.5	meV/atom
DFT total energy	-3.811	eV/atom
magnetization	0.0	μB/f.u.